1.
{"formula": "Tb4ZnCu2Rh", "functional": "PBE", "state": "relaxed", "cell": [[4.9539, 0.0000, 0.0000], [2.4770, 4.2902, 0.0000], [2.4770, 1.4301, 8.0771]], "species": ["Cu", "Tb", "Zn", "Tb", "Tb", "Tb", "Rh", "Cu"], "fractional_positions": [[0.2559, 0.2559, 0.2324], [0.8716, 0.8716, 0.3852], [0.0000, 0.0000, 0.0000], [0.3790, 0.3790, 0.8629], [0.6210, 0.6210, 0.1371], [0.1284, 0.1284, 0.6148], [0.5000, 0.5000, 0.5000], [0.7441, 0.7441, 0.7676]], "dos_ef_per_ev_atom": 0.53, "final_energy_ev_per_cell": -38.813, "formation_enthalpy_0k_ev_per_atom": -0.434}


2.
{"formula": "TbZrCuRh", "functional": "PBE", "state": "relaxed", "cell": [[-1.5148, 1.4848, -4.2830], [-2.2134, -3.0489, -2.9408], [-4.6800, 0.4699, -0.8486]], "species": ["Zr", "Rh", "Tb", "Cu"], "fractional_positions": [[0.5000, 0.5000, 0.5000], [0.7500, 0.7500, 0.7500], [0.0000, 0.0000, 0.0000], [0.2500, 0.2500, 0.2500]], "dos_ef_per_ev_atom": 0.84, "final_energy_ev_per_cell": -26.388, "formation_enthalpy_0k_ev_per_atom": -0.441}


3.
{"formula": "Cu2TcRh", "functional": "PBE", "state": "relaxed", "cell": [[4.5753, 0.0036, 0.0008], [3.7908, 2.5620, 0.0008], [0.7345, 0.2252, 4.5595]], "species": ["Cu", "Rh", "Cu", "Tc"], "fractional_positions": [[0.0017, 0.0017, 0.9775], [0.4996, 0.4996, 0.4762], [0.7498, 0.7498, 0.7737], [0.2490, 0.2490, 0.2726]], "dos_ef_per_ev_atom": 0.76, "final_energy_ev_per_cell": -25.524, "formation_enthalpy_0k_ev_per_atom": 0.096}